Here is a relaxed Ac3Cu2GeO9 crystal from Alexandria via LeMat-Bulk. Energies are from PBE-GGA.

Structure (POSCAR):
```
Ac3Cu2GeO9
1.0
5.599 0.000 0.000
-2.800 4.849 0.000
0.000 0.000 6.871
O Ac Cu Ge
9 3 2 1
Direct
0.500 0.000 0.000
0.161 0.839 0.339
0.322 0.161 0.661
0.839 0.161 0.661
0.000 0.500 0.000
0.161 0.322 0.339
0.500 0.500 0.000
0.678 0.839 0.339
0.839 0.678 0.661
0.333 0.667 0.672
0.000 0.000 0.000
0.667 0.333 0.328
0.333 0.667 0.165
0.667 0.333 0.835
0.000 0.000 0.500
```

Properties
Total moment in μB/atom: 0.000
Symmetry: P-3m1
Calculated volume in Å³/f.u.: 187
Raw formation energy in eV/f.u.: -33.444


Here is a relaxed AcCuGeO4 crystal from Alexandria via LeMat-Bulk. Energies are from PBE-GGA.

Structure (POSCAR):
```
AcCuGeO4
1.0
5.917 0.000 0.000
2.959 5.875 -1.130
2.959 0.714 5.940
Ge O Ac Cu
2 8 2 2
Direct
0.603 0.647 0.147
0.397 0.353 0.853
0.271 0.224 0.724
0.705 0.721 0.870
0.705 0.370 0.221
0.729 0.776 0.276
0.295 0.630 0.779
0.295 0.279 0.130
0.780 0.224 0.724
0.220 0.776 0.276
0.000 0.000 0.000
0.000 0.500 0.500
0.000 0.000 0.500
0.500 0.000 0.500
```

Properties
Total moment in μB/atom: 0.000
Symmetry: Imma
Calculated volume in Å³/f.u.: 106
Raw formation energy in eV/f.u.: -14.106


Here is a relaxed AcCu4Ge3O12 crystal from Alexandria via LeMat-Bulk. Energies are from PBE-GGA.

Structure (POSCAR):
```
AcCu4Ge3O12
1.0
6.561 -0.105 -0.146
-1.683 6.343 -0.146
-1.683 -2.151 5.968
Ge O Cu Ac
3 12 4 1
Direct
0.000 0.577 0.423
0.423 0.000 0.577
0.577 0.423 0.000
0.279 0.354 0.001
0.913 0.500 0.087
0.500 0.319 0.681
0.721 0.999 0.646
0.319 0.681 0.500
0.681 0.500 0.319
0.999 0.646 0.721
0.001 0.279 0.354
0.354 0.001 0.279
0.087 0.913 0.500
0.646 0.721 0.999
0.500 0.087 0.913
0.500 0.500 0.500
0.500 0.901 0.099
0.901 0.099 0.500
0.099 0.500 0.901
0.000 0.000 0.000
```

Properties
Total moment in μB/atom: 0.009
Symmetry: R32
Calculated volume in Å³/f.u.: 243
Raw formation energy in eV/f.u.: -25.112


Here is a relaxed Ac2Cu3Ge4Os crystal from Alexandria via LeMat-Bulk. Energies are from PBE-GGA.

Structure (POSCAR):
```
Ac2Cu3Ge4Os
1.0
4.384 0.000 0.000
0.000 4.384 0.000
0.000 0.000 10.205
Os Cu Ge Ac
1 3 4 2
Direct
0.500 0.500 0.500
0.000 0.500 0.126
0.500 0.000 0.874
0.000 0.000 0.500
0.000 0.000 0.000
0.500 0.500 0.000
0.000 0.500 0.377
0.500 0.000 0.623
0.500 0.000 0.250
0.000 0.500 0.750
```

Properties
Raw total energy in eV/atom: -5.42
Total moment in μB/atom: 0.000
Symmetry: P-4m2
Calculated volume in Å³/f.u.: 196


Here is a relaxed AcCuGe2Os crystal from Alexandria via LeMat-Bulk. Energies are from PBE-GGA.

Structure (POSCAR):
```
AcCuGe2Os
1.0
-1.059 3.067 2.818
-1.811 -2.957 2.538
6.190 -0.768 -0.116
Cu Os Ac Ge
1 1 1 2
Direct
0.250 0.750 0.500
0.750 0.250 0.500
0.000 0.000 0.000
0.635 0.635 0.271
0.365 0.365 0.729
```

Properties
Raw total energy in eV/atom: -6.05
Total moment in μB/atom: 0.000
Symmetry: I-4m2
Calculated volume in Å³/f.u.: 101


Here is a relaxed Ac2Cu3Ge4Pb crystal from Alexandria via LeMat-Bulk. Energies are from PBE-GGA.

Structure (POSCAR):
```
Ac2Cu3Ge4Pb
1.0
4.515 0.000 0.000
0.000 4.515 0.000
0.000 0.000 10.636
Cu Ge Ac Pb
3 4 2 1
Direct
0.000 0.500 0.110
0.500 0.000 0.890
0.000 0.000 0.500
0.500 0.000 0.659
0.000 0.000 0.000
0.000 0.500 0.341
0.500 0.500 0.000
0.500 0.000 0.232
0.000 0.500 0.768
0.500 0.500 0.500
```

Properties
Raw total energy in eV/atom: -4.61
Total moment in μB/atom: 0.000
Symmetry: P-4m2
Calculated volume in Å³/f.u.: 217


Here is a relaxed AcCuGePb crystal from Alexandria via LeMat-Bulk. Energies are from PBE-GGA.

Structure (POSCAR):
```
AcCuGePb
1.0
5.265 0.000 0.000
2.633 4.560 0.000
2.633 1.520 4.299
Ac Pb Ge Cu
1 1 1 1
Direct
0.000 0.000 0.000
0.500 0.500 0.500
0.250 0.250 0.250
0.750 0.750 0.750
```

Properties
Raw total energy in eV/atom: -4.27
Total moment in μB/atom: 0.000
Symmetry: F-43m
Calculated volume in Å³/f.u.: 103


Here is a relaxed Ac2CuGe3Pd4 crystal from Alexandria via LeMat-Bulk. Energies are from PBE-GGA.

Structure (POSCAR):
```
Ac2CuGe3Pd4
1.0
4.475 0.000 0.000
0.000 4.475 0.000
0.000 0.000 10.220
Ge Pd Ac Cu
3 4 2 1
Direct
0.000 0.000 0.500
0.000 0.500 0.125
0.500 0.000 0.875
0.500 0.500 0.000
0.000 0.000 0.000
0.000 0.500 0.373
0.500 0.000 0.627
0.000 0.500 0.742
0.500 0.000 0.258
0.500 0.500 0.500
```

Properties
Raw total energy in eV/atom: -5.45
Total moment in μB/atom: 0.000
Symmetry: P-4m2
Calculated volume in Å³/f.u.: 205


Here is a relaxed Ac3CuGe2Pd9 crystal from Alexandria via LeMat-Bulk. Energies are from PBE-GGA.

Structure (POSCAR):
```
Ac3CuGe2Pd9
1.0
-0.101 -1.518 -5.778
4.777 -1.295 3.346
-4.351 -9.445 2.558
Pd Ge Ac Cu
9 2 3 1
Direct
0.500 0.500 0.000
0.319 0.159 0.682
0.159 0.841 0.318
0.681 0.841 0.318
0.500 0.000 0.000
0.841 0.159 0.682
0.159 0.319 0.318
0.000 0.500 0.000
0.841 0.681 0.682
0.667 0.333 0.834
0.333 0.667 0.166
0.333 0.667 0.614
0.000 0.000 0.000
0.667 0.333 0.386
0.000 0.000 0.500
```

Properties
Raw total energy in eV/atom: -5.41
Total moment in μB/atom: 0.000
Symmetry: P-3m1
Calculated volume in Å³/f.u.: 331


Here is a relaxed AcCuGePd6 crystal from Alexandria via LeMat-Bulk. Energies are from PBE-GGA.

Structure (POSCAR):
```
AcCuGePd6
1.0
-3.935 5.216 -1.461
-7.553 -4.878 2.929
6.475 1.853 4.519
Pd Ge Ac Cu
12 2 2 2
Direct
0.429 0.679 0.857
0.349 0.115 0.259
0.090 0.356 0.741
0.910 0.115 0.259
0.090 0.885 0.741
0.571 0.321 0.143
0.910 0.644 0.259
0.651 0.885 0.741
0.651 0.356 0.741
0.086 0.836 0.171
0.914 0.164 0.829
0.349 0.644 0.259
0.500 0.500 0.000
0.500 0.000 0.000
0.836 0.586 0.673
0.164 0.414 0.327
0.000 0.000 0.500
0.500 0.000 0.500
```

Properties
Raw total energy in eV/atom: -5.09
Total moment in μB/atom: 0.000
Symmetry: Imma
Calculated volume in Å³/f.u.: 180


Here is a relaxed Ac3CuGe2Pd6 crystal from Alexandria via LeMat-Bulk. Energies are from PBE-GGA.

Structure (POSCAR):
```
Ac3CuGe2Pd6
1.0
5.869 0.000 0.000
-2.935 5.083 0.000
0.000 0.000 9.185
Pd Ac Ge Cu
6 3 2 1
Direct
0.169 0.831 0.288
0.831 0.663 0.712
0.663 0.831 0.288
0.169 0.337 0.288
0.831 0.169 0.712
0.337 0.169 0.712
0.333 0.667 0.621
0.667 0.333 0.379
0.000 0.000 0.000
0.667 0.333 0.926
0.333 0.667 0.074
0.000 0.000 0.500
```

Properties
Raw total energy in eV/atom: -5.37
Total moment in μB/atom: 0.000
Symmetry: P-3m1
Calculated volume in Å³/f.u.: 274


Here is a relaxed Ac2Cu3Ge4Pd crystal from Alexandria via LeMat-Bulk. Energies are from PBE-GGA.

Structure (POSCAR):
```
Ac2Cu3Ge4Pd
1.0
4.432 0.000 0.000
0.000 4.432 0.000
0.000 0.000 10.119
Ge Cu Ac Pd
4 3 2 1
Direct
0.000 0.500 0.372
0.500 0.000 0.628
0.500 0.500 0.000
0.000 0.000 0.000
0.500 0.000 0.877
0.000 0.000 0.500
0.000 0.500 0.123
0.000 0.500 0.750
0.500 0.000 0.250
0.500 0.500 0.500
```

Properties
Raw total energy in eV/atom: -4.98
Total moment in μB/atom: 0.000
Symmetry: P-4m2
Calculated volume in Å³/f.u.: 199